LaHfHgC2 | PBE | optimized geometry

Cell and atoms, written as POSCAR:
```
LaHfHgC2
1.0
4.387 0.000 0.000
0.000 4.387 0.000
0.000 0.000 5.726
La Hf Hg C
1 1 1 2
Direct
0.000 0.000 0.000 La
0.500 0.500 0.500 Hf
0.000 0.000 0.500 Hg
0.000 0.500 0.000 C
0.500 0.000 0.000 C
```

## Properties
Total magnetic moment (μB/f.u.): 0.00
Energy relative to the elements (eV/atom): 2.0149


Y2NbZn2 | PBE | optimized geometry

Cell and atoms, written as POSCAR:
```
Y2NbZn2
1.0
8.001 0.000 0.000
0.000 8.001 0.000
0.000 0.000 3.439
Y Nb Zn
4 2 4
Direct
0.181 0.319 0.000 Y
0.319 0.819 0.000 Y
0.681 0.181 0.000 Y
0.819 0.681 0.000 Y
0.000 0.000 0.500 Nb
0.500 0.500 0.500 Nb
0.118 0.618 0.500 Zn
0.382 0.118 0.500 Zn
0.618 0.882 0.500 Zn
0.882 0.382 0.500 Zn
```

## Properties
Total magnetic moment (μB/f.u.): 0.00
Energy relative to the elements (eV/atom): 0.0355


GdLuScTi | PBE | optimized geometry

Cell and atoms, written as POSCAR:
```
GdLuScTi
1.0
0.000 3.706 3.706
3.706 0.000 3.706
3.706 3.706 0.000
Gd Lu Sc Ti
1 1 1 1
Direct
0.000 0.000 0.000 Gd
0.500 0.500 0.500 Lu
0.250 0.250 0.250 Sc
0.750 0.750 0.750 Ti
```

## Properties
Total magnetic moment (μB/f.u.): 4.95
Energy relative to the elements (eV/atom): 0.2206


Th2TiSe2I4 | PBE | optimized geometry

Cell and atoms, written as POSCAR:
```
Th2TiSe2I4
1.0
3.833 0.000 0.000
-1.916 3.319 0.000
0.000 0.000 24.056
Th Ti Se I
2 1 2 4
Direct
0.000 0.000 0.000 Th
0.333 0.667 0.365 Th
0.333 0.667 0.695 Ti
0.000 0.000 0.631 Se
0.000 0.000 0.759 Se
0.000 0.000 0.268 I
0.000 0.000 0.462 I
0.333 0.667 0.097 I
0.333 0.667 0.904 I
```

## Properties
Total magnetic moment (μB/f.u.): 0.23
E_form (uncorrected) (eV/atom): -0.9620


PuCd3Pd2 | PBE | optimized geometry

Cell and atoms, written as POSCAR:
```
PuCd3Pd2
1.0
4.057 0.000 0.000
0.000 8.739 0.000
0.000 0.000 7.202
Pu Cd Pd
2 6 4
Direct
0.000 0.087 0.000 Pu
0.000 0.913 0.500 Pu
0.000 0.313 0.599 Cd
0.000 0.687 0.099 Cd
0.500 0.197 0.330 Cd
0.500 0.419 0.919 Cd
0.500 0.581 0.419 Cd
0.500 0.803 0.830 Cd
0.000 0.390 0.212 Pd
0.000 0.610 0.712 Pd
0.500 0.108 0.711 Pd
0.500 0.892 0.211 Pd
```

## Properties
Total magnetic moment (μB/f.u.): 5.55
Energy relative to the elements (eV/atom): -0.3178


AlGeI | PBE | optimized geometry

Cell and atoms, written as POSCAR:
```
AlGeI
1.0
4.424 0.000 0.000
2.185 3.860 0.000
1.805 1.275 11.141
Al Ge I
2 2 2
Direct
0.000 0.000 0.000 Al
0.293 0.644 0.258 Al
0.005 0.289 0.251 Ge
0.681 0.632 0.056 Ge
0.208 0.993 0.778 I
0.587 0.460 0.468 I
```

## Properties
Offset from the most stable computed form (eV per formula unit): 0.354
Total magnetic moment (μB/f.u.): 0.00
E_form (uncorrected) (eV/atom): -0.1404


Y3HfCl | PBE | optimized geometry

Cell and atoms, written as POSCAR:
```
Y3HfCl
1.0
5.177 0.000 0.000
0.000 5.177 0.000
0.000 0.000 5.177
Y Hf Cl
3 1 1
Direct
0.000 0.000 0.500 Y
0.000 0.500 0.000 Y
0.500 0.000 0.000 Y
0.500 0.500 0.500 Hf
0.000 0.000 0.000 Cl
```

## Properties
Offset from the most stable computed form (eV per formula unit): 0.000
Total magnetic moment (μB/f.u.): 0.00
E_form (uncorrected) (eV/atom): -0.2436


La3PmPd2 | PBE | optimized geometry

Cell and atoms, written as POSCAR:
```
La3PmPd2
1.0
6.613 -3.565 0.000
6.613 3.565 0.000
-2.435 0.000 7.649
La Pm Pd
6 2 4
Direct
0.214 0.215 0.107 La
0.215 0.214 0.607 La
0.247 0.753 0.750 La
0.753 0.247 0.250 La
0.785 0.786 0.393 La
0.786 0.785 0.893 La
0.254 0.746 0.250 Pm
0.746 0.254 0.750 Pm
0.379 0.382 0.440 Pd
0.382 0.379 0.940 Pd
0.618 0.621 0.060 Pd
0.621 0.618 0.560 Pd
```

## Properties
Offset from the most stable computed form (eV per formula unit): 0.000
Total magnetic moment (μB/f.u.): 0.92
Energy relative to the elements (eV/atom): -0.5154


Hf2VTc | PBE | optimized geometry

Cell and atoms, written as POSCAR:
```
Hf2VTc
1.0
0.000 3.301 3.301
3.301 0.000 3.301
3.301 3.301 0.000
Hf V Tc
2 1 1
Direct
0.250 0.250 0.250 Hf
0.750 0.750 0.750 Hf
0.000 0.000 0.000 V
0.500 0.500 0.500 Tc
```

## Properties
Offset from the most stable computed form (eV per formula unit): 0.000
Total magnetic moment (μB/f.u.): 2.87
Energy relative to the elements (eV/atom): -0.1971


YAlAg2S | PBE | optimized geometry

Cell and atoms, written as POSCAR:
```
YAlAg2S
1.0
4.799 0.000 0.000
0.000 4.799 0.000
0.000 0.000 5.169
Y Al Ag S
1 1 2 1
Direct
0.000 0.000 0.000 Y
0.500 0.500 0.000 Al
0.000 0.500 0.500 Ag
0.500 0.000 0.500 Ag
0.000 0.000 0.500 S
```

## Properties
Total magnetic moment (μB/f.u.): 0.00
E_form (uncorrected) (eV/atom): -0.0690


HgPt2I | PBE | optimized geometry

Cell and atoms, written as POSCAR:
```
HgPt2I
1.0
0.000 3.423 3.423
3.423 0.000 3.423
3.423 3.423 0.000
Hg Pt I
1 2 1
Direct
0.000 0.000 0.000 Hg
0.250 0.250 0.250 Pt
0.750 0.750 0.750 Pt
0.500 0.500 0.500 I
```

## Properties
Offset from the most stable computed form (eV per formula unit): 0.271
Total magnetic moment (μB/f.u.): 0.00
E_form (uncorrected) (eV/atom): 0.5229


Mg3H12Rh5 | PBE | optimized geometry

Cell and atoms, written as POSCAR:
```
Mg3H12Rh5
1.0
-5.504 5.504 5.504
5.504 -5.504 5.504
5.504 5.504 -5.504
Mg H Rh
12 48 20
Direct
0.125 0.250 0.375 Mg
0.125 0.375 0.750 Mg
0.250 0.375 0.125 Mg
0.250 0.875 0.625 Mg
0.375 0.125 0.250 Mg
0.375 0.750 0.125 Mg
0.625 0.250 0.875 Mg
0.625 0.875 0.750 Mg
0.750 0.125 0.375 Mg
0.750 0.625 0.875 Mg
0.875 0.625 0.250 Mg
0.875 0.750 0.625 Mg
0.034 0.204 0.119 H
0.034 0.329 0.915 H
0.085 0.619 0.414 H
0.085 0.966 0.671 H
0.086 0.704 0.671 H
0.086 0.881 0.415 H
0.119 0.034 0.204 H
0.119 0.585 0.914 H
0.171 0.204 0.586 H
0.171 0.466 0.585 H
0.204 0.119 0.034 H
0.204 0.586 0.171 H
0.296 0.329 0.914 H
0.296 0.466 0.381 H
0.329 0.914 0.296 H
0.329 0.915 0.034 H
0.381 0.296 0.466 H
0.381 0.586 0.915 H
0.414 0.085 0.619 H
0.414 0.829 0.796 H
0.415 0.086 0.881 H
0.415 0.829 0.534 H
0.466 0.381 0.296 H
0.466 0.585 0.171 H
0.534 0.415 0.829 H
0.534 0.619 0.704 H
0.585 0.171 0.466 H
0.585 0.914 0.119 H
0.586 0.171 0.204 H
0.586 0.915 0.381 H
0.619 0.414 0.085 H
0.619 0.704 0.534 H
0.671 0.085 0.966 H
0.671 0.086 0.704 H
0.704 0.534 0.619 H
0.704 0.671 0.086 H
0.796 0.414 0.829 H
0.796 0.881 0.966 H
0.829 0.534 0.415 H
0.829 0.796 0.414 H
0.881 0.415 0.086 H
0.881 0.966 0.796 H
0.914 0.119 0.585 H
0.914 0.296 0.329 H
0.915 0.034 0.329 H
0.915 0.381 0.586 H
0.966 0.671 0.085 H
0.966 0.796 0.881 H
0.000 0.000 0.000 Rh
0.000 0.000 0.500 Rh
0.000 0.500 0.000 Rh
0.000 0.500 0.500 Rh
0.125 0.750 0.875 Rh
0.125 0.875 0.250 Rh
0.250 0.125 0.875 Rh
0.250 0.625 0.375 Rh
0.375 0.250 0.625 Rh
0.375 0.625 0.750 Rh
0.500 0.000 0.000 Rh
0.500 0.000 0.500 Rh
0.500 0.500 0.000 Rh
0.500 0.500 0.500 Rh
0.625 0.375 0.250 Rh
0.625 0.750 0.375 Rh
0.750 0.375 0.625 Rh
0.750 0.875 0.125 Rh
0.875 0.125 0.750 Rh
0.875 0.250 0.125 Rh
```

## Properties
Total magnetic moment (μB/f.u.): 0.00


AcGe2Os | PBE | optimized geometry

Cell and atoms, written as POSCAR:
```
AcGe2Os
1.0
2.507 1.447 3.807
-2.507 1.447 3.807
0.000 -2.895 3.807
Ac Ge Os
1 2 1
Direct
0.000 0.000 0.000 Ac
0.262 0.262 0.262 Ge
0.738 0.738 0.738 Ge
0.500 0.500 0.500 Os
```

## Properties
Offset from the most stable computed form (eV per formula unit): 2.049
Total magnetic moment (μB/f.u.): 0.00
Energy relative to the elements (eV/atom): 0.0724


TlTc3 | PBE | optimized geometry

Cell and atoms, written as POSCAR:
```
TlTc3
1.0
4.700 -1.471 0.000
4.700 1.471 0.000
-1.024 0.000 4.790
Tl Tc
1 3
Direct
0.000 0.000 0.000 Tl
0.236 0.236 0.710 Tc
0.500 0.500 0.500 Tc
0.764 0.764 0.290 Tc
```

## Properties
Offset from the most stable computed form (eV per formula unit): 0.400
Total magnetic moment (μB/f.u.): 0.00
Energy relative to the elements (eV/atom): 0.5145


La2Sb4Rh3Au | PBE | optimized geometry

Cell and atoms, written as POSCAR:
```
La2Sb4Rh3Au
1.0
4.653 0.000 0.000
0.000 4.653 0.000
0.000 0.000 10.509
La Sb Rh Au
2 4 3 1
Direct
0.000 0.500 0.248 La
0.500 0.000 0.752 La
0.000 0.000 0.500 Sb
0.000 0.500 0.862 Sb
0.500 0.000 0.138 Sb
0.500 0.500 0.500 Sb
0.000 0.000 0.000 Rh
0.000 0.500 0.617 Rh
0.500 0.000 0.383 Rh
0.500 0.500 0.000 Au
```

## Properties
Total magnetic moment (μB/f.u.): 0.00
E_form (uncorrected) (eV/atom): -0.8041


Y2MnCrCl | PBE | optimized geometry

Cell and atoms, written as POSCAR:
```
Y2MnCrCl
1.0
5.421 0.000 0.000
0.000 5.421 0.000
0.000 0.000 4.254
Y Mn Cr Cl
2 1 1 1
Direct
0.000 0.500 0.000 Y
0.500 0.000 0.000 Y
0.000 0.000 0.500 Mn
0.500 0.500 0.000 Cr
0.500 0.500 0.500 Cl
```

## Properties
Total magnetic moment (μB/f.u.): 4.41
E_form (uncorrected) (eV/atom): 0.5551


YAl2Ag | PBE | optimized geometry

Cell and atoms, written as POSCAR:
```
YAl2Ag
1.0
3.401 0.000 0.000
0.000 4.620 0.000
0.000 0.000 5.486
Y Al Ag
1 2 1
Direct
0.000 0.000 0.000 Y
0.500 0.000 0.496 Al
0.500 0.500 0.242 Al
0.500 0.500 0.745 Ag
```

## Properties
Total magnetic moment (μB/f.u.): 0.00
Energy relative to the elements (eV/atom): -0.2330


K2ZnPt2O6 | PBE | optimized geometry

Cell and atoms, written as POSCAR:
```
K2ZnPt2O6
1.0
2.740 -4.791 0.000
2.740 4.791 0.000
-1.760 0.000 6.069
K Zn Pt O
2 1 2 6
Direct
0.164 0.836 0.000 K
0.836 0.164 0.000 K
0.000 0.000 0.500 Zn
0.334 0.666 0.500 Pt
0.666 0.334 0.500 Pt
0.051 0.398 0.667 O
0.290 0.290 0.333 O
0.398 0.051 0.667 O
0.602 0.949 0.333 O
0.710 0.710 0.667 O
0.949 0.602 0.333 O
```

## Properties
Total magnetic moment (μB/f.u.): 0.00
E_form (uncorrected) (eV/atom): -1.0567


Pm2ErGa3 | PBE | optimized geometry

Cell and atoms, written as POSCAR:
```
Pm2ErGa3
1.0
5.120 0.000 0.000
-2.560 4.434 0.000
0.000 0.000 12.606
Pm Er Ga
4 2 6
Direct
0.000 0.000 0.000 Pm
0.000 0.000 0.500 Pm
0.333 0.667 0.171 Pm
0.667 0.333 0.829 Pm
0.333 0.667 0.666 Er
0.667 0.333 0.334 Er
0.000 0.000 0.253 Ga
0.000 0.000 0.747 Ga
0.333 0.667 0.419 Ga
0.333 0.667 0.915 Ga
0.667 0.333 0.085 Ga
0.667 0.333 0.581 Ga
```

## Properties
Offset from the most stable computed form (eV per formula unit): 0.041
Total magnetic moment (μB/f.u.): 0.00
Energy relative to the elements (eV/atom): -0.5672


PrErPd | PBE | optimized geometry

Cell and atoms, written as POSCAR:
```
PrErPd
1.0
7.139 0.000 0.000
0.000 6.083 0.000
-6.578 0.000 8.161
Pr Er Pd
4 4 4
Direct
0.198 0.137 0.386 Pr
0.198 0.363 0.886 Pr
0.802 0.637 0.114 Pr
0.802 0.863 0.614 Pr
0.325 0.632 0.631 Er
0.325 0.868 0.131 Er
0.675 0.132 0.869 Er
0.675 0.368 0.369 Er
0.325 0.633 0.359 Pd
0.325 0.867 0.859 Pd
0.675 0.133 0.141 Pd
0.675 0.367 0.641 Pd
```

## Properties
Offset from the most stable computed form (eV per formula unit): 0.411
Total magnetic moment (μB/f.u.): 0.00
Energy relative to the elements (eV/atom): -0.4465


Ac6Pr2Tm | PBE | optimized geometry

Cell and atoms, written as POSCAR:
```
Ac6Pr2Tm
1.0
6.740 0.000 0.000
0.000 10.262 0.000
-6.601 0.000 10.851
Ac Pr Tm
12 4 2
Direct
0.055 0.120 0.205 Ac
0.055 0.380 0.705 Ac
0.294 0.711 0.648 Ac
0.294 0.789 0.148 Ac
0.369 0.154 0.016 Ac
0.369 0.346 0.516 Ac
0.631 0.654 0.484 Ac
0.631 0.846 0.984 Ac
0.706 0.211 0.852 Ac
0.706 0.289 0.352 Ac
0.945 0.620 0.295 Ac
0.945 0.880 0.795 Ac
0.149 0.068 0.638 Pr
0.149 0.432 0.138 Pr
0.851 0.568 0.862 Pr
0.851 0.932 0.362 Pr
0.500 0.000 0.500 Tm
0.500 0.500 0.000 Tm
```

## Properties
Total magnetic moment (μB/f.u.): 0.00
Energy relative to the elements (eV/atom): 0.1316


no.,D(E_F) (states/eV/f.u.),electronic total energy (eV/atom)
1,4.88,-4.71
2,6.88,-5.07
3,9.39,-7.99
4,3.68,-4.95
5,13.33,-4.89
6,0.01,-3.44
7,3.68,-6.48
8,7.46,-5.50
9,3.67,-10.05
10,1.96,-4.08
11,5.28,-2.96
12,3.47,-4.26
13,1.55,-6.07
14,4.10,-7.85
15,4.12,-5.97
16,7.25,-6.16
17,2.28,-4.43
18,0.00,-5.17
19,2.43,-4.42
20,3.43,-5.29
21,14.15,-4.17